DFT (PBE+U) results for crystalline FePtO3 at its relaxed geometry.

Results
The value obtained for the total energy is -5.866 eV per atom. Its volume is 12.68 Å³/atom. The crystal system is hexagonal. Its space group is No. 188.

Unit cell a=5.545 b=5.138 c=5.138 alpha=120.00 beta=90.00 gamma=90.00
Each line ends with the local moment (μB).
Atoms (fractional coordinates):
Pt: 0.500 0.667 0.333  0.05
Pt: 0.000 0.667 0.333  0.05
Fe: 0.000 0.000 0.000  3.75
O: 0.250 0.956 0.317  0.04
O: 0.250 0.361 0.044  0.04
O: 0.250 0.683 0.639  0.04
O: 0.750 0.956 0.639  0.04
O: 0.750 0.361 0.317  0.04
O: 0.750 0.683 0.044  0.04
Fe: 0.500 0.000 0.000  3.75

---

DFT (PBE+U) results for crystalline FePt3O8 at its relaxed geometry.

Results
The value obtained for the density of states at the Fermi level is 0.388 states/eV per atom. The value obtained for the total energy is -5.895 eV per atom. Its volume is 12.35 Å³/atom. The crystal system is hexagonal. Its space group is No. 186.

Unit cell a=6.199 b=6.199 c=8.909 alpha=90.00 beta=90.00 gamma=120.00
Each line ends with the local moment (μB).
Atoms (fractional coordinates):
O: 0.523 0.046 0.838  0.08
O: 0.046 0.523 0.338  0.08
O: 0.477 0.523 0.338  0.08
O: 0.954 0.477 0.838  0.08
O: 0.162 0.323 0.598  -0.04
O: 0.477 0.954 0.338  0.08
O: 0.838 0.677 0.098  -0.04
O: 0.000 0.000 0.820  -0.01
O: 0.838 0.162 0.098  -0.04
Pt: 0.168 0.335 0.210  -0.10
Fe: 0.333 0.667 0.500  4.27
O: 0.677 0.838 0.598  -0.04
Pt: 0.832 0.168 0.710  -0.10
Pt: 0.168 0.832 0.210  -0.10
Pt: 0.335 0.168 0.710  -0.10
O: 0.333 0.667 0.099  0.00
O: 0.162 0.838 0.598  -0.04
O: 0.323 0.162 0.098  -0.04
O: 0.000 0.000 0.320  -0.01
Pt: 0.832 0.665 0.710  -0.10
O: 0.667 0.333 0.599  0.00
O: 0.523 0.477 0.838  0.08
Pt: 0.665 0.832 0.210  -0.10
Fe: 0.667 0.333 0.000  4.27

---

DFT (PBE+U) results for crystalline FePtO2 at its relaxed geometry.

Results
The value obtained for the density of states at the Fermi level is 0.107 states/eV per atom. The value obtained for the total energy is -6.074 eV per atom. Its volume is 11.03 Å³/atom. The crystal system is trigonal. Its space group is No. 166.

Unit cell a=2.914 b=2.912 c=6.237 alpha=76.52 beta=76.49 gamma=59.98
Each line ends with the local moment (μB).
Atoms (fractional coordinates):
O: 0.888 0.887 0.336  -0.07
O: 0.112 0.113 0.664  -0.07
Pt: 0.000 0.000 0.000  -0.03
Fe: 0.500 0.500 0.500  1.17

---

DFT (PBE+U) results for crystalline FePtO3 at its relaxed geometry.

Results
The value obtained for the density of states at the Fermi level is 0.784 states/eV per atom. The value obtained for the total energy is -5.218 eV per atom. Its volume is 12.02 Å³/atom. The crystal system is cubic. Its space group is No. 221.

Unit cell a=3.917 b=3.917 c=3.917 alpha=90.00 beta=90.00 gamma=90.00
Each line ends with the local moment (μB).
Atoms (fractional coordinates):
O: 0.500 0.000 0.000  0.16
Fe: 0.500 0.500 0.500  3.71
O: 0.000 0.000 0.500  0.06
O: 0.000 0.500 0.000  0.10
Pt: 0.000 0.000 0.000  0.28

---

DFT (PBE+U) results for crystalline FePtO2 at its relaxed geometry.

Results
The value obtained for the density of states at the Fermi level is 0.833 states/eV per atom. The value obtained for the total energy is -5.473 eV per atom. Its volume is 13.53 Å³/atom. The crystal system is trigonal. Its space group is No. 166.

Unit cell a=5.946 b=5.946 c=5.946 alpha=32.54 beta=32.54 gamma=32.54
Each line ends with the local moment (μB).
Atoms (fractional coordinates):
Pt: 0.500 0.500 0.500  -0.34
O: 0.887 0.887 0.887  -0.07
O: 0.113 0.113 0.113  -0.07
Fe: 0.000 0.000 0.000  3.25

---

DFT (PBE+U) results for crystalline FePtO3 at its relaxed geometry.

Results
The value obtained for the density of states at the Fermi level is 0.632 states/eV per atom. The value obtained for the total energy is -5.282 eV per atom. Its volume is 10.97 Å³/atom. The crystal system is cubic. Its space group is No. 221.

Unit cell a=3.800 b=3.800 c=3.800 alpha=90.00 beta=90.00 gamma=90.00
Each line ends with the local moment (μB).
Atoms (fractional coordinates):
O: 0.000 0.500 0.000  0.45
Fe: 0.000 0.000 0.000  4.06
O: 0.500 0.000 0.000  0.39
O: 0.000 0.000 0.500  0.36
Pt: 0.500 0.500 0.500  1.39

---

DFT (PBE+U) results for crystalline FePtO2 at its relaxed geometry.

Results
The value obtained for the density of states at the Fermi level is 0.972 states/eV per atom. The value obtained for the total energy is -5.232 eV per atom. Its volume is 10.89 Å³/atom. The crystal system is cubic. Its space group is No. 225.

Unit cell a=3.950 b=3.950 c=3.950 alpha=60.00 beta=60.00 gamma=60.00
Each line ends with the local moment (μB).
Atoms (fractional coordinates):
O: 0.750 0.750 0.750  -0.12
O: 0.250 0.250 0.250  -0.12
Pt: 0.500 0.500 0.500  -0.37
Fe: 0.000 0.000 0.000  3.86

---

DFT (PBE+U) results for crystalline Fe2PtO at its relaxed geometry.

Results
The value obtained for the density of states at the Fermi level is 0.241 states/eV per atom. The value obtained for the total energy is -5.959 eV per atom. Its volume is 15.33 Å³/atom. The crystal system is tetragonal. Its space group is No. 122.

Unit cell a=5.950 b=5.950 c=5.450 alpha=56.92 beta=56.92 gamma=90.00
Each line ends with the local moment (μB).
Atoms (fractional coordinates):
O: 0.500 0.500 0.000  0.10
Pt: 0.750 0.250 0.500  0.22
O: 0.250 0.750 0.500  0.11
Fe: 0.206 0.625 0.250  3.72
Fe: 0.544 0.125 0.250  3.71
Fe: 0.375 0.456 0.750  3.72
Fe: 0.875 0.794 0.750  3.73
Pt: 0.000 0.000 0.000  0.22

---

DFT (PBE+U) results for crystalline FePtO2 at its relaxed geometry.

Results
The value obtained for the density of states at the Fermi level is 0.304 states/eV per atom. The value obtained for the total energy is -5.733 eV per atom. Its volume is 13.68 Å³/atom. The crystal system is tetragonal. Its space group is No. 122.

Unit cell a=4.987 b=4.987 c=5.640 alpha=63.76 beta=63.76 gamma=90.00
Each line ends with the local moment (μB).
Atoms (fractional coordinates):
Pt: 0.000 0.000 0.000  -0.54
O: 0.183 0.625 0.250  0.11
O: 0.875 0.817 0.750  0.11
Fe: 0.500 0.500 0.000  4.21
Pt: 0.750 0.250 0.500  -0.55
Fe: 0.250 0.750 0.500  4.20
O: 0.567 0.125 0.250  0.11
O: 0.375 0.433 0.750  0.11

---

DFT (PBE+U) results for crystalline FePt2O6 at its relaxed geometry.

Results
The value obtained for the density of states at the Fermi level is 0.745 states/eV per atom. The value obtained for the total energy is -5.922 eV per atom. Its volume is 11.16 Å³/atom. The crystal system is trigonal. Its space group is No. 162.

Unit cell a=4.338 b=5.170 c=5.170 alpha=120.00 beta=90.00 gamma=90.00
Each line ends with the local moment (μB).
Atoms (fractional coordinates):
O: 0.749 0.659 0.659  0.17
Pt: 0.500 0.667 0.333  0.23
O: 0.251 0.341 0.341  0.17
O: 0.251 0.000 0.659  0.17
O: 0.749 0.000 0.341  0.17
Fe: 0.000 0.000 0.000  4.29
Pt: 0.500 0.333 0.667  0.23
O: 0.749 0.341 0.000  0.17
O: 0.251 0.659 0.000  0.17

---

DFT (PBE+U) results for crystalline Rb2FePtO4 at its relaxed geometry.

Results
The value obtained for the density of states at the Fermi level is 0.771 states/eV per atom. The value obtained for the total energy is -5.216 eV per atom. Its volume is 24.75 Å³/atom. The crystal system is orthorhombic. Its space group is No. 70.

Unit cell a=5.787 b=7.497 c=10.310 alpha=83.78 beta=73.70 gamma=67.30
Each line ends with the local moment (μB).
Atoms (fractional coordinates):
Rb: 0.171 0.000 0.659  0.00
Pt: 0.250 0.500 0.500  -0.47
O: 0.142 0.185 0.998  -0.11
O: 0.426 0.685 0.498  -0.11
Rb: 0.921 0.500 0.159  0.00
Fe: 0.750 0.500 0.500  2.99
O: 0.861 0.815 0.998  -0.11
O: 0.608 0.315 0.502  -0.11
Fe: 0.000 0.000 0.000  2.99
Pt: 0.500 0.000 0.000  -0.47
Rb: 0.829 0.000 0.341  0.00
O: 0.674 0.185 0.002  -0.11
Rb: 0.579 0.500 0.841  0.00
O: 0.324 0.815 0.002  -0.11
O: 0.889 0.685 0.502  -0.11
O: 0.076 0.315 0.498  -0.11

---

DFT (PBE+U) results for crystalline FePtRh2O6 at its relaxed geometry.

Results
The value obtained for the total energy is -6.356 eV per atom. Its volume is 11.24 Å³/atom. The crystal system is triclinic. Its space group is No. 1.

Unit cell a=5.240 b=5.262 c=5.613 alpha=61.96 beta=61.99 gamma=59.79
Each line ends with the local moment (μB).
Atoms (fractional coordinates):
Fe: 0.812 0.811 0.568  3.75
O: 0.221 0.922 0.246  0.02
O: 0.610 0.223 0.247  0.02
O: 0.409 0.715 0.754  0.01
O: 0.120 0.408 0.755  0.02
Pt: 0.321 0.321 0.036  0.03
O: 0.920 0.611 0.246  0.02
Rh: 0.518 0.519 0.444  0.02
Rh: 0.012 0.011 0.964  0.02
O: 0.717 0.121 0.755  0.02

---

- Among the records above, which one has the lowest volume?
  number 7